1.
{
  "formula": "Cs2HoIrO6",
  "functional": "PBE-GGA",
  "state": "relaxed",
  "total_energy_ev_per_atom": -6.06,
  "n_ef_per_ev_cell": 6.4,
  "sg": "No. 164",
  "raw_formation_energy_mev_per_atom": -1572,
  "lattice_angstrom": [[6.655, 0.000, 0.000], [-3.328, 5.764, 0.000], [0.000, 0.000, 5.735]],
  "species": ["Cs", "Cs", "Ho", "Ir", "O", "O", "O", "O", "O", "O"],
  "fractional_positions": [[0.333, 0.667, 0.151], [0.667, 0.333, 0.849], [0.000, 0.000, 0.500], [0.000, 0.000, 0.000], [0.132, 0.265, 0.792], [0.132, 0.868, 0.792], [0.265, 0.132, 0.208], [0.735, 0.868, 0.792], [0.868, 0.132, 0.208], [0.868, 0.735, 0.208]]
}


2.
{
  "formula": "Dy2ZnGa12",
  "functional": "PBE-GGA",
  "state": "relaxed",
  "total_energy_ev_per_atom": -3.37,
  "n_ef_per_ev_cell": 6.6,
  "sg": "No. 125",
  "formation_energy_ev_per_atom": -0.2549,
  "lattice_angstrom": [[6.224, 0.000, 0.000], [0.000, 6.224, 0.000], [0.000, 0.000, 15.059]],
  "species": ["Dy", "Dy", "Dy", "Dy", "Zn", "Zn", "Ga", "Ga", "Ga", "Ga", "Ga", "Ga", "Ga", "Ga", "Ga", "Ga", "Ga", "Ga", "Ga", "Ga", "Ga", "Ga", "Ga", "Ga", "Ga", "Ga", "Ga", "Ga", "Ga", "Ga"],
  "fractional_positions": [[0.250, 0.750, 0.246], [0.250, 0.750, 0.754], [0.750, 0.250, 0.246], [0.750, 0.250, 0.754], [0.250, 0.750, 0.000], [0.750, 0.250, 0.000], [0.001, 0.501, 0.091], [0.001, 0.999, 0.909], [0.083, 0.583, 0.571], [0.083, 0.917, 0.429], [0.250, 0.250, 0.184], [0.250, 0.250, 0.345], [0.250, 0.250, 0.655], [0.250, 0.250, 0.816], [0.417, 0.583, 0.429], [0.417, 0.917, 0.571], [0.499, 0.501, 0.909], [0.499, 0.999, 0.091], [0.501, 0.001, 0.909], [0.501, 0.499, 0.091], [0.583, 0.083, 0.429], [0.583, 0.417, 0.571], [0.750, 0.750, 0.184], [0.750, 0.750, 0.345], [0.750, 0.750, 0.655], [0.750, 0.750, 0.816], [0.917, 0.083, 0.571], [0.917, 0.417, 0.429], [0.999, 0.001, 0.091], [0.999, 0.499, 0.909]]
}


3.
{
  "formula": "LiTbSm2Se5",
  "functional": "PBE-GGA",
  "state": "relaxed",
  "total_energy_ev_per_atom": -5.44,
  "sg": "No. 36",
  "raw_formation_energy_mev_per_atom": -1732,
  "lattice_angstrom": [[2.057, -8.603, 0.000], [2.057, 8.603, 0.000], [0.000, 0.000, 12.435]],
  "species": ["Li", "Li", "Tb", "Tb", "Sm", "Sm", "Sm", "Sm", "Se", "Se", "Se", "Se", "Se", "Se", "Se", "Se", "Se", "Se"],
  "fractional_positions": [[0.013, 0.987, 0.500], [0.987, 0.013, 0.000], [0.304, 0.696, 0.020], [0.696, 0.304, 0.520], [0.375, 0.625, 0.314], [0.392, 0.608, 0.703], [0.608, 0.392, 0.203], [0.625, 0.375, 0.814], [0.001, 0.999, 0.303], [0.138, 0.862, 0.017], [0.192, 0.808, 0.359], [0.214, 0.786, 0.681], [0.454, 0.546, 0.092], [0.546, 0.454, 0.592], [0.786, 0.214, 0.181], [0.808, 0.192, 0.859], [0.862, 0.138, 0.517], [0.999, 0.001, 0.803]]
}